1.
A relaxed NaEuAlCd crystal, computed with PBE.

CIF file:
```
data_NaEuAlCd
_chemical_formula_sum 'Na4 Eu4 Al4 Cd4'
_space_group_name_H-M_alt 'F -4 3 m'
_space_group_IT_number 216
_space_group_name_Hall 'F -4 2 3'
_cell_length_a 7.314
_cell_length_b 7.314
_cell_length_c 7.314
_cell_angle_alpha 90.00
_cell_angle_beta 90.00
_cell_angle_gamma 90.00
loop_
_atom_site_label
_atom_site_type_symbol
_atom_site_fract_x
_atom_site_fract_y
_atom_site_fract_z
_atom_site_occupancy
Na1 Na 0.000 0.000 0.000 1
Eu1 Eu 0.250 0.250 0.250 1
Al1 Al 0.000 0.000 0.500 1
Cd1 Cd 0.250 0.250 0.750 1
```

## Properties
E_form   -0.1049 eV per atom

2.
A relaxed YRu3Pb crystal, computed with PBE.

CIF file:
```
data_YRu3Pb
_chemical_formula_sum 'Y1 Ru3 Pb1'
_space_group_name_H-M_alt 'P m -3 m'
_space_group_IT_number 221
_space_group_name_Hall '-P 4 2 3'
_cell_length_a 4.951
_cell_length_b 4.951
_cell_length_c 4.951
_cell_angle_alpha 90.00
_cell_angle_beta 90.00
_cell_angle_gamma 90.00
loop_
_atom_site_label
_atom_site_type_symbol
_atom_site_fract_x
_atom_site_fract_y
_atom_site_fract_z
_atom_site_occupancy
Y1 Y 0.000 0.000 0.000 1
Ru1 Ru 0.000 0.500 0.500 1
Pb1 Pb 0.500 0.500 0.500 1
```

## Properties
E_form   1.3725 eV per atom

3.
A relaxed Lu2AlS crystal, computed with PBE.

CIF file:
```
data_Lu2AlS
_chemical_formula_sum 'Lu6 Al3 S3'
_space_group_name_H-M_alt 'R -3 m'
_space_group_IT_number 166
_space_group_name_Hall '-R 3 2"'
_cell_length_a 3.5496
_cell_length_b 3.5496
_cell_length_c 27.7561
_cell_angle_alpha 90.00
_cell_angle_beta 90.00
_cell_angle_gamma 120.00
loop_
_atom_site_label
_atom_site_type_symbol
_atom_site_fract_x
_atom_site_fract_y
_atom_site_fract_z
_atom_site_occupancy
Lu1 Lu 0.0000 0.0000 0.1068 1
Al1 Al 0.0000 0.0000 0.0000 1
S1 S 0.0000 0.0000 0.5000 1
```

## Properties
Formation energy without anion corrections   -0.59 eV per atom

4.
A relaxed K4Np3ReN8 crystal, computed with PBE.

CIF file:
```
data_K4Np3ReN8
_chemical_formula_sum 'K12 Np9 Re3 N24'
_space_group_name_H-M_alt 'R -3 m'
_space_group_IT_number 166
_space_group_name_Hall '-R 3 2"'
_cell_length_a 6.7889
_cell_length_b 6.7889
_cell_length_c 19.1581
_cell_angle_alpha 90.00
_cell_angle_beta 90.00
_cell_angle_gamma 120.00
loop_
_atom_site_label
_atom_site_type_symbol
_atom_site_fract_x
_atom_site_fract_y
_atom_site_fract_z
_atom_site_occupancy
K1 K 0.0000 0.0000 0.0000 1
K2 K 0.0000 0.5000 0.0000 1
Np1 Np 0.0000 0.5000 0.5000 1
Re1 Re 0.0000 0.0000 0.5000 1
N1 N 0.0000 0.0000 0.2214 1
N2 N 0.0135 0.5067 0.2216 1
```

## Properties
Formation energy without anion corrections   -0.56 eV per atom

5.
A relaxed NiPNCl2 crystal, computed with PBE.

CIF file:
```
data_NiPNCl2
_chemical_formula_sum 'Ni1 P1 N1 Cl2'
_space_group_name_H-M_alt 'P 4/m m m'
_space_group_IT_number 123
_space_group_name_Hall '-P 4 2'
_cell_length_a 4.412
_cell_length_b 4.412
_cell_length_c 4.619
_cell_angle_alpha 90.00
_cell_angle_beta 90.00
_cell_angle_gamma 90.00
loop_
_atom_site_label
_atom_site_type_symbol
_atom_site_fract_x
_atom_site_fract_y
_atom_site_fract_z
_atom_site_occupancy
Ni1 Ni 0.000 0.000 0.000 1
P1 P 0.000 0.000 0.500 1
N1 N 0.500 0.500 0.500 1
Cl1 Cl 0.000 0.500 0.000 1
```

## Properties
Formation energy without anion corrections   1.36 eV per atom

6.
A relaxed La5Tb2DyHo crystal, computed with PBE.

CIF file:
```
data_La5Tb2DyHo
_chemical_formula_sum 'La20 Tb8 Dy4 Ho4'
_space_group_name_H-M_alt 'C m c 21'
_space_group_IT_number 36
_cell_length_a 5.523
_cell_length_b 21.838
_cell_length_c 10.594
_cell_angle_alpha 90.00
_cell_angle_beta 90.00
_cell_angle_gamma 90.00
loop_
_space_group_symop_operation_xyz
'x,y,z'
'-x,-y,z+1/2'
'-x,y,z'
'x,-y,z+1/2'
'x+1/2,y+1/2,z'
'-x+1/2,-y+1/2,z+1/2'
'-x+1/2,y+1/2,z'
'x+1/2,-y+1/2,z+1/2'
loop_
_atom_site_label
_atom_site_type_symbol
_atom_site_fract_x
_atom_site_fract_y
_atom_site_fract_z
_atom_site_occupancy
La1 La 0.000 0.000 0.000 1
La2 La 0.000 0.124 0.250 1
La3 La 0.000 0.220 0.942 1
La4 La 0.000 0.221 0.562 1
La5 La 0.000 0.498 0.250 1
Tb1 Tb 0.000 0.386 0.996 1
Tb2 Tb 0.000 0.387 0.504 1
Dy1 Dy 0.000 0.292 0.252 1
Ho1 Ho 0.000 0.101 0.750 1
```

## Properties
E_form   0.1241 eV per atom

7.
A relaxed SmY6Tm2Th crystal, computed with PBE.

CIF file:
```
data_SmY6Tm2Th
_chemical_formula_sum 'Sm4 Y24 Tm8 Th4'
_space_group_name_H-M_alt 'C 1 2/c 1'
_space_group_IT_number 15
_cell_length_a 9.332
_cell_length_b 14.966
_cell_length_c 9.375
_cell_angle_alpha 90.00
_cell_angle_beta 95.44
_cell_angle_gamma 90.00
loop_
_space_group_symop_operation_xyz
'x,y,z'
'-x,-y,-z'
'-x,y,-z+1/2'
'x,-y,z+1/2'
'x+1/2,y+1/2,z'
'-x+1/2,-y+1/2,-z'
'-x+1/2,y+1/2,-z+1/2'
'x+1/2,-y+1/2,z+1/2'
loop_
_atom_site_label
_atom_site_type_symbol
_atom_site_fract_x
_atom_site_fract_y
_atom_site_fract_z
_atom_site_occupancy
Sm1 Sm 0.000 0.088 0.250 1
Y1 Y 0.059 0.326 0.441 1
Y2 Y 0.094 0.114 0.610 1
Y3 Y 0.210 0.278 0.816 1
Tm1 Tm 0.249 0.449 0.056 1
Th1 Th 0.000 0.466 0.750 1
```

## Properties
E_form   0.1480 eV per atom

8.
A relaxed Ti2MnRh9 crystal, computed with PBE.

CIF file:
```
data_Ti2MnRh9
_chemical_formula_sum 'Ti2 Mn1 Rh9'
_space_group_name_H-M_alt 'P 4/m m m'
_space_group_IT_number 123
_space_group_name_Hall '-P 4 2'
_cell_length_a 3.841
_cell_length_b 3.841
_cell_length_c 11.542
_cell_angle_alpha 90.00
_cell_angle_beta 90.00
_cell_angle_gamma 90.00
loop_
_atom_site_label
_atom_site_type_symbol
_atom_site_fract_x
_atom_site_fract_y
_atom_site_fract_z
_atom_site_occupancy
Ti1 Ti 0.000 0.000 0.168 1
Mn1 Mn 0.000 0.000 0.500 1
Rh1 Rh 0.000 0.500 0.000 1
Rh2 Rh 0.000 0.500 0.335 1
Rh3 Rh 0.500 0.500 0.167 1
Rh4 Rh 0.500 0.500 0.500 1
```

## Properties
E_form   -0.4600 eV per atom

Raw total energy list, top to bottom, in eV per atom: -4.1677 -6.2275 -4.8218 -8.2059 -3.2868 -4.6623 -5.8386 -8.0536